No. 1
# Nd3Ga4Ru2, relaxed, DFT PBE-GGA
# ΔH_f (0 K), eV/f.u.: -4.8
# Symmetry: C2/m (12)
# DOS at the Fermi energy, states/eV/f.u.: 5.7
# Total magnetization, μB per formula unit: 0.000
data_Nd3Ga4Ru2
_symmetry_space_group_name_H-M 'P 1'
_symmetry_Int_Tables_number 1
_cell_length_a 5.737
_cell_length_b 5.737
_cell_length_c 8.476
_cell_angle_alpha 103.65
_cell_angle_beta 103.65
_cell_angle_gamma 46.28
loop_
_symmetry_equiv_pos_as_xyz
'x,y,z'
loop_
_atom_site_label
_atom_site_type_symbol
_atom_site_fract_x
_atom_site_fract_y
_atom_site_fract_z
Nd1 Nd 0.000 0.000 0.000
Nd2 Nd 0.376 0.376 0.305
Nd3 Nd 0.624 0.624 0.695
Ga1 Ga 0.099 0.099 0.409
Ga2 Ga 0.282 0.282 0.922
Ga3 Ga 0.718 0.718 0.078
Ga4 Ga 0.901 0.901 0.591
Ru1 Ru 0.315 0.315 0.639
Ru2 Ru 0.685 0.685 0.361


No. 2
# VCd2FeAs, relaxed, DFT PBE-GGA
# ΔH_f (0 K), eV/f.u.: 4.3
# Symmetry: P4/mmm (123)
# DOS at the Fermi energy, states/eV/f.u.: 7.5
# Total magnetization, μB per formula unit: 1.166
data_VCd2FeAs
_symmetry_space_group_name_H-M 'P 1'
_symmetry_Int_Tables_number 1
_cell_length_a 4.938
_cell_length_b 4.938
_cell_length_c 4.325
_cell_angle_alpha 90.00
_cell_angle_beta 90.00
_cell_angle_gamma 90.00
loop_
_symmetry_equiv_pos_as_xyz
'x,y,z'
loop_
_atom_site_label
_atom_site_type_symbol
_atom_site_fract_x
_atom_site_fract_y
_atom_site_fract_z
V1 V 0.000 0.000 0.000
Cd1 Cd 0.000 0.500 0.500
Cd2 Cd 0.500 0.000 0.500
Fe1 Fe 0.500 0.500 0.500
As1 As 0.500 0.500 0.000


No. 3
# LiTh2Ni, relaxed, DFT PBE-GGA
# ΔH_f (0 K), eV/f.u.: 0.7
# Symmetry: R-3m (166)
# DOS at the Fermi energy, states/eV/f.u.: 5.3
# Total magnetization, μB per formula unit: 0.000
data_LiTh2Ni
_symmetry_space_group_name_H-M 'P 1'
_symmetry_Int_Tables_number 1
_cell_length_a 10.749
_cell_length_b 10.749
_cell_length_c 10.749
_cell_angle_alpha 19.40
_cell_angle_beta 19.40
_cell_angle_gamma 19.40
loop_
_symmetry_equiv_pos_as_xyz
'x,y,z'
loop_
_atom_site_label
_atom_site_type_symbol
_atom_site_fract_x
_atom_site_fract_y
_atom_site_fract_z
Li1 Li 0.000 0.000 0.000
Th1 Th 0.109 0.109 0.109
Th2 Th 0.891 0.891 0.891
Ni1 Ni 0.500 0.500 0.500


No. 4
# Ac7TbPm12, relaxed, DFT PBE-GGA
# ΔH_f (0 K), eV/f.u.: 16.4
# Symmetry: Im-3 (204)
# DOS at the Fermi energy, states/eV/f.u.: 30.7
# Total magnetization, μB per formula unit: 0.000
data_Ac7TbPm12
_symmetry_space_group_name_H-M 'P 1'
_symmetry_Int_Tables_number 1
_cell_length_a 10.489
_cell_length_b 10.489
_cell_length_c 10.489
_cell_angle_alpha 109.47
_cell_angle_beta 109.47
_cell_angle_gamma 109.47
loop_
_symmetry_equiv_pos_as_xyz
'x,y,z'
loop_
_atom_site_label
_atom_site_type_symbol
_atom_site_fract_x
_atom_site_fract_y
_atom_site_fract_z
Ac1 Ac 0.000 0.000 0.500
Ac2 Ac 0.000 0.500 0.000
Ac3 Ac 0.000 0.500 0.500
Ac4 Ac 0.500 0.000 0.000
Ac5 Ac 0.500 0.000 0.500
Ac6 Ac 0.500 0.500 0.000
Ac7 Ac 0.500 0.500 0.500
Tb1 Tb 0.000 0.000 0.000
Pm1 Pm 0.079 0.323 0.756
Pm2 Pm 0.244 0.567 0.323
Pm3 Pm 0.244 0.921 0.677
Pm4 Pm 0.323 0.244 0.567
Pm5 Pm 0.323 0.756 0.079
Pm6 Pm 0.433 0.677 0.756
Pm7 Pm 0.567 0.323 0.244
Pm8 Pm 0.677 0.244 0.921
Pm9 Pm 0.677 0.756 0.433
Pm10 Pm 0.756 0.079 0.323
Pm11 Pm 0.756 0.433 0.677
Pm12 Pm 0.921 0.677 0.244


No. 5
# La2Tb2NdY2, relaxed, DFT PBE-GGA
# ΔH_f (0 K), eV/f.u.: 0.2
# Symmetry: C2/m (12)
# DOS at the Fermi energy, states/eV/f.u.: 11.5
# Total magnetization, μB per formula unit: 0.000
data_La2Tb2NdY2
_symmetry_space_group_name_H-M 'P 1'
_symmetry_Int_Tables_number 1
_cell_length_a 6.293
_cell_length_b 6.293
_cell_length_c 8.147
_cell_angle_alpha 97.45
_cell_angle_beta 97.45
_cell_angle_gamma 48.24
loop_
_symmetry_equiv_pos_as_xyz
'x,y,z'
loop_
_atom_site_label
_atom_site_type_symbol
_atom_site_fract_x
_atom_site_fract_y
_atom_site_fract_z
La1 La 0.142 0.142 0.428
La2 La 0.858 0.858 0.572
Tb1 Tb 0.429 0.429 0.283
Tb2 Tb 0.571 0.571 0.717
Nd1 Nd 0.000 0.000 0.000
Y1 Y 0.285 0.285 0.861
Y2 Y 0.715 0.715 0.139


No. 6
# CaZrCo2, relaxed, DFT PBE-GGA
# ΔH_f (0 K), eV/f.u.: 1.3
# Symmetry: R-3m (166)
# DOS at the Fermi energy, states/eV/f.u.: 5.0
# Total magnetization, μB per formula unit: 0.838
data_CaZrCo2
_symmetry_space_group_name_H-M 'P 1'
_symmetry_Int_Tables_number 1
_cell_length_a 7.922
_cell_length_b 7.922
_cell_length_c 7.922
_cell_angle_alpha 24.54
_cell_angle_beta 24.54
_cell_angle_gamma 24.54
loop_
_symmetry_equiv_pos_as_xyz
'x,y,z'
loop_
_atom_site_label
_atom_site_type_symbol
_atom_site_fract_x
_atom_site_fract_y
_atom_site_fract_z
Ca1 Ca 0.000 0.000 0.000
Zr1 Zr 0.500 0.500 0.500
Co1 Co 0.240 0.240 0.240
Co2 Co 0.760 0.760 0.760


> Among the records above, which one has the lowest DOS at the Fermi energy?

CaZrCo2


> Among the records above, which one has the highest DOS at the Fermi energy?

Ac7TbPm12


> Among the records above, which one has the highest ΔH_f (0 K)?

Ac7TbPm12